First-principles (SCAN) data for Ta2AlAg at its PBEsol-relaxed geometry, as listed in the Alexandria database.

a b c (Å): 3.900 3.900 5.161
angles (deg): 112.20 112.20 90.00
Sites, in units of the cell vectors:
Ta1 0.250 0.750 0.500
Ta2 0.750 0.250 0.500
Ag1 0.500 0.500 0.000
Al1 0.000 0.000 0.000

The energy above the most stable polymorph in this dataset is 0.000 eV/atom. As for the crystal system: tetragonal. For the total energy, the calculation gives -3.167 Ry/atom. The calculation puts the formation energy at -23.8 meV per atom. Its symmetry is I4/mmm, No. 139.